# PBE MgBeGa2, relaxed
# Total magnetization ... 0.0000 μB/atom
# Formation energy from the elements ... 0.241 eV/atom
# Space group ... No. 122
# Uncorrected energy ... -20.8 eV/cell
# Offset from the most stable computed form ... 0.020 eV/atom
data_MgBeGa2
_cell_length_a 4.3122
_cell_length_b 4.3122
_cell_length_c 8.6146
_cell_angle_alpha 75.51
_cell_angle_beta 75.51
_cell_angle_gamma 90.00
_space_group_name_H-M_alt 'P 1'
_space_group_IT_number 1
loop_
_space_group_symop_operation_xyz
'x,y,z'
loop_
_atom_site_label
_atom_site_type_symbol
_atom_site_fract_x
_atom_site_fract_y
_atom_site_fract_z
Be1 Be 0.5000 0.5000 0.0000
Be2 Be 0.2500 0.7500 0.5000
Mg1 Mg 0.0000 0.0000 0.0000
Mg2 Mg 0.7500 0.2500 0.5000
Ga1 Ga 0.5338 0.1250 0.2500
Ga2 Ga 0.2162 0.6250 0.2500
Ga3 Ga 0.3750 0.4662 0.7500
Ga4 Ga 0.8750 0.7838 0.7500